# GGA-PBE KHoBi2, optimized geometry
data_KHoBi2
_cell_length_a 3.700
_cell_length_b 3.700
_cell_length_c 9.589
_cell_angle_alpha 90.00
_cell_angle_beta 90.00
_cell_angle_gamma 90.00
_space_group_name_H-M_alt 'P 4/m m m'
_space_group_IT_number 123
_space_group_name_Hall '-P 4 2'
loop_
_atom_site_label
_atom_site_type_symbol
_atom_site_fract_x
_atom_site_fract_y
_atom_site_fract_z
_atom_site_occupancy
K1 K 0.000 0.000 0.000 1
Ho1 Ho 0.000 0.000 0.500 1
Bi1 Bi 0.500 0.500 0.280 1
# polymorph energy (0 for the lowest one): 0 meV/atom
# ΔH_f (0 K): -49.5 kJ/mol of atoms
# spin magnetization: 0.0000 μB/atom
# total DFT energy (no corrections): -3.8724 eV/atom

# GGA-PBE SmTh2Sc4, optimized geometry
data_SmTh2Sc4
_cell_length_a 10.758
_cell_length_b 11.115
_cell_length_c 3.377
_cell_angle_alpha 90.00
_cell_angle_beta 90.00
_cell_angle_gamma 90.00
_space_group_name_H-M_alt 'C m m m'
_space_group_IT_number 65
_space_group_name_Hall '-C 2 2'
loop_
_atom_site_label
_atom_site_type_symbol
_atom_site_fract_x
_atom_site_fract_y
_atom_site_fract_z
_atom_site_occupancy
Sm1 Sm 0.000 0.000 0.000 1
Th1 Th 0.195 0.500 0.500 1
Sc1 Sc 0.000 0.270 0.500 1
Sc2 Sc 0.250 0.250 0.000 1
# polymorph energy (0 for the lowest one): 0 meV/atom
# ΔH_f (0 K): 19.5 kJ/mol of atoms
# spin magnetization: 0.0001 μB/atom
# total DFT energy (no corrections): -6.2098 eV/atom

# GGA-PBE BaCa2Os, optimized geometry
data_BaCa2Os
_cell_length_a 3.903
_cell_length_b 3.903
_cell_length_c 8.568
_cell_angle_alpha 90.00
_cell_angle_beta 90.00
_cell_angle_gamma 90.00
_space_group_name_H-M_alt 'P 4 m m'
_space_group_IT_number 99
loop_
_space_group_symop_operation_xyz
'x,y,z'
'-y,x,z'
'-x,-y,z'
'y,-x,z'
'-x,y,z'
'y,x,z'
'x,-y,z'
'-y,-x,z'
loop_
_atom_site_label
_atom_site_type_symbol
_atom_site_fract_x
_atom_site_fract_y
_atom_site_fract_z
_atom_site_occupancy
Ba1 Ba 0.000 0.000 0.000 1
Ca1 Ca 0.000 0.000 0.629 1
Ca2 Ca 0.500 0.500 0.389 1
Os1 Os 0.500 0.500 0.758 1
# polymorph energy (0 for the lowest one): 71 meV/atom
# ΔH_f (0 K): 45.3 kJ/mol of atoms
# spin magnetization: 0.0000 μB/atom
# total DFT energy (no corrections): -3.8190 eV/atom

# GGA-PBE DyGe2Ir, optimized geometry
data_DyGe2Ir
_cell_length_a 6.686
_cell_length_b 4.338
_cell_length_c 10.185
_cell_angle_alpha 90.00
_cell_angle_beta 90.00
_cell_angle_gamma 90.00
_space_group_name_H-M_alt 'P n m a'
_space_group_IT_number 62
loop_
_space_group_symop_operation_xyz
'x,y,z'
'-x,-y,-z'
'-x+1/2,-y,z+1/2'
'x+1/2,y,-z+1/2'
'x+1/2,-y+1/2,-z+1/2'
'-x+1/2,y+1/2,z+1/2'
'-x,y+1/2,-z'
'x,-y+1/2,z'
loop_
_atom_site_label
_atom_site_type_symbol
_atom_site_fract_x
_atom_site_fract_y
_atom_site_fract_z
_atom_site_occupancy
Dy1 Dy 0.229 0.250 0.182 1
Ge1 Ge 0.036 0.750 0.336 1
Ge2 Ge 0.244 0.250 0.473 1
Ir1 Ir 0.090 0.250 0.903 1
# ΔH_f (0 K): -66.6 kJ/mol of atoms
# spin magnetization: 0.0000 μB/atom
# total DFT energy (no corrections): -6.3648 eV/atom

# GGA-PBE Ba3In2Ge2Pt4, optimized geometry
data_Ba3In2Ge2Pt4
_cell_length_a 4.4490
_cell_length_b 4.4490
_cell_length_c 17.6075
_cell_angle_alpha 90.00
_cell_angle_beta 90.00
_cell_angle_gamma 120.00
_space_group_name_H-M_alt 'P -3 m 1'
_space_group_IT_number 164
_space_group_name_Hall '-P 3 2"'
loop_
_atom_site_label
_atom_site_type_symbol
_atom_site_fract_x
_atom_site_fract_y
_atom_site_fract_z
_atom_site_occupancy
Ba1 Ba 0.0000 0.0000 0.0000 1
Ba2 Ba 0.0000 0.0000 0.2749 1
In1 In 0.3333 0.6667 0.5594 1
Ge1 Ge 0.3333 0.6667 0.1364 1
Pt1 Pt 0.3333 0.6667 0.3993 1
Pt2 Pt 0.3333 0.6667 0.8606 1
# ΔH_f (0 K): -64.0 kJ/mol of atoms
# spin magnetization: 0.0000 μB/atom
# total DFT energy (no corrections): -4.7218 eV/atom

# GGA-PBE Cs2SmCu2Br6, optimized geometry
data_Cs2SmCu2Br6
_cell_length_a 13.741
_cell_length_b 7.901
_cell_length_c 8.908
_cell_angle_alpha 90.00
_cell_angle_beta 122.79
_cell_angle_gamma 90.00
_space_group_name_H-M_alt 'C 1 2/m 1'
_space_group_IT_number 12
loop_
_space_group_symop_operation_xyz
'x,y,z'
'-x,-y,-z'
'-x,y,-z'
'x,-y,z'
'x+1/2,y+1/2,z'
'-x+1/2,-y+1/2,-z'
'-x+1/2,y+1/2,-z'
'x+1/2,-y+1/2,z'
loop_
_atom_site_label
_atom_site_type_symbol
_atom_site_fract_x
_atom_site_fract_y
_atom_site_fract_z
_atom_site_occupancy
Cs1 Cs 0.215 0.000 0.201 1
Sm1 Sm 0.000 0.000 0.500 1
Cu1 Cu 0.039 0.500 0.158 1
Br1 Br 0.042 0.248 0.767 1
Br2 Br 0.243 0.000 0.635 1
# ΔE_f (raw): -1.205 eV/atom
# spin magnetization: 0.0753 μB/atom
# total DFT energy (no corrections): -3.4464 eV/atom

# GGA-PBE TiGa2, optimized geometry
data_TiGa2
_cell_length_a 3.939
_cell_length_b 3.939
_cell_length_c 24.395
_cell_angle_alpha 90.00
_cell_angle_beta 90.00
_cell_angle_gamma 90.00
_space_group_name_H-M_alt 'I 41/a m d'
_space_group_IT_number 141
loop_
_space_group_symop_operation_xyz
'x,y,z'
'-x,-y,-z'
'-y+1/4,x+3/4,z+1/4'
'y+1/4,-x+3/4,-z+1/4'
'-x+1/2,-y,z+1/2'
'x+1/2,y,-z+1/2'
'y+1/4,-x+1/4,z+3/4'
'-y+1/4,x+1/4,-z+3/4'
'x,-y,-z'
'-x,y,z'
'-y+1/4,-x+1/4,-z+3/4'
'y+1/4,x+1/4,z+3/4'
'-x+1/2,y,-z+1/2'
'x+1/2,-y,z+1/2'
'y+1/4,x+3/4,-z+1/4'
'-y+1/4,-x+3/4,z+1/4'
'x+1/2,y+1/2,z+1/2'
'-x+1/2,-y+1/2,-z+1/2'
'-y+3/4,x+1/4,z+3/4'
'y+3/4,-x+1/4,-z+3/4'
'-x,-y+1/2,z'
'x,y+1/2,-z'
'y+3/4,-x+3/4,z+1/4'
'-y+3/4,x+3/4,-z+1/4'
'x+1/2,-y+1/2,-z+1/2'
'-x+1/2,y+1/2,z+1/2'
'-y+3/4,-x+3/4,-z+1/4'
'y+3/4,x+3/4,z+1/4'
'-x,y+1/2,-z'
'x,-y+1/2,z'
'y+3/4,x+1/4,-z+3/4'
'-y+3/4,-x+1/4,z+3/4'
loop_
_atom_site_label
_atom_site_type_symbol
_atom_site_fract_x
_atom_site_fract_y
_atom_site_fract_z
_atom_site_occupancy
Ti1 Ti 0.000 0.250 0.299 1
Ga1 Ga 0.000 0.250 0.125 1
Ga2 Ga 0.000 0.250 0.787 1
# ΔH_f (0 K): -42.8 kJ/mol of atoms
# spin magnetization: 0.0000 μB/atom
# total DFT energy (no corrections): -5.0933 eV/atom

# GGA-PBE LiMgZr2, optimized geometry
data_LiMgZr2
_cell_length_a 3.0125
_cell_length_b 3.0125
_cell_length_c 33.3346
_cell_angle_alpha 90.00
_cell_angle_beta 90.00
_cell_angle_gamma 120.00
_space_group_name_H-M_alt 'R -3 m'
_space_group_IT_number 166
_space_group_name_Hall '-R 3 2"'
loop_
_atom_site_label
_atom_site_type_symbol
_atom_site_fract_x
_atom_site_fract_y
_atom_site_fract_z
_atom_site_occupancy
Li1 Li 0.0000 0.0000 0.0000 1
Mg1 Mg 0.0000 0.0000 0.5000 1
Zr1 Zr 0.0000 0.0000 0.2488 1
# ΔH_f (0 K): 14.8 kJ/mol of atoms
# spin magnetization: 0.0000 μB/atom
# total DFT energy (no corrections): -4.9973 eV/atom

# GGA-PBE Tc2OsSe, optimized geometry
data_Tc2OsSe
_cell_length_a 2.870
_cell_length_b 4.013
_cell_length_c 5.331
_cell_angle_alpha 90.00
_cell_angle_beta 104.14
_cell_angle_gamma 90.00
_space_group_name_H-M_alt 'P 1 2/m 1'
_space_group_IT_number 10
loop_
_space_group_symop_operation_xyz
'x,y,z'
'-x,-y,-z'
'-x,y,-z'
'x,-y,z'
loop_
_atom_site_label
_atom_site_type_symbol
_atom_site_fract_x
_atom_site_fract_y
_atom_site_fract_z
_atom_site_occupancy
Tc1 Tc 0.123 0.000 0.254 1
Os1 Os 0.500 0.500 0.000 1
Se1 Se 0.500 0.500 0.500 1
# ΔE_f (raw): 0.324 eV/atom
# spin magnetization: 0.0000 μB/atom
# total DFT energy (no corrections): -8.5378 eV/atom

# GGA-PBE Pa2H2SeS2, optimized geometry
data_Pa2H2SeS2
_cell_length_a 3.8928
_cell_length_b 3.8928
_cell_length_c 31.9190
_cell_angle_alpha 90.00
_cell_angle_beta 90.00
_cell_angle_gamma 120.00
_space_group_name_H-M_alt 'R -3 m'
_space_group_IT_number 166
_space_group_name_Hall '-R 3 2"'
loop_
_atom_site_label
_atom_site_type_symbol
_atom_site_fract_x
_atom_site_fract_y
_atom_site_fract_z
_atom_site_occupancy
Pa1 Pa 0.0000 0.0000 0.2303 1
H1 H 0.0000 0.0000 0.1075 1
Se1 Se 0.0000 0.0000 0.5000 1
S1 S 0.0000 0.0000 0.3881 1
# spin magnetization: 0.2905 μB/atom
# total DFT energy (no corrections): -6.5280 eV/atom

# GGA-PBE LaPm3Pr7, optimized geometry
data_LaPm3Pr7
_cell_length_a 6.067
_cell_length_b 11.516
_cell_length_c 11.571
_cell_angle_alpha 90.00
_cell_angle_beta 90.00
_cell_angle_gamma 90.00
_space_group_name_H-M_alt 'I m m m'
_space_group_IT_number 71
_space_group_name_Hall '-I 2 2'
loop_
_atom_site_label
_atom_site_type_symbol
_atom_site_fract_x
_atom_site_fract_y
_atom_site_fract_z
_atom_site_occupancy
La1 La 0.000 0.000 0.000 1
Pm1 Pm 0.000 0.000 0.500 1
Pm2 Pm 0.000 0.500 0.206 1
Pr1 Pr 0.000 0.203 0.299 1
Pr2 Pr 0.000 0.292 0.000 1
Pr3 Pr 0.000 0.500 0.500 1
# polymorph energy (0 for the lowest one): 2 meV/atom
# ΔH_f (0 K): 19.2 kJ/mol of atoms
# spin magnetization: 0.0250 μB/atom
# total DFT energy (no corrections): -4.5862 eV/atom

# GGA-PBE TaFe2CoC, optimized geometry
data_TaFe2CoC
_cell_length_a 3.793
_cell_length_b 3.793
_cell_length_c 3.768
_cell_angle_alpha 90.00
_cell_angle_beta 90.00
_cell_angle_gamma 90.00
_space_group_name_H-M_alt 'P 4/m m m'
_space_group_IT_number 123
_space_group_name_Hall '-P 4 2'
loop_
_atom_site_label
_atom_site_type_symbol
_atom_site_fract_x
_atom_site_fract_y
_atom_site_fract_z
_atom_site_occupancy
Ta1 Ta 0.000 0.000 0.000 1
Fe1 Fe 0.000 0.500 0.500 1
Co1 Co 0.500 0.500 0.000 1
C1 C 0.500 0.500 0.500 1
# ΔH_f (0 K): -7.6 kJ/mol of atoms
# spin magnetization: 0.0001 μB/atom
# total DFT energy (no corrections): -9.1000 eV/atom

- Which formula does entry 4 have?
  DyGe2Ir